No. 1
Computed, not measured: a relaxed RbBaSr2Ru crystal at the PBE level of DFT.

Summary:
Calculated formation energy, kJ/mol of atoms: 26
Energy, eV/atom: -2.8408

abc: 6.1878 5.9961 6.1878
angles: 90.00 90.00 90.00
Site moments in Bohr magnetons follow the coordinates.
Fractional coordinates of all 5 atoms:
Ru (0.0000, 0.0000, 0.0000)  0.14
Sr (0.5000, 0.0000, 0.0000)  0.01
Sr (0.0000, 0.0000, 0.5000)  0.03
Ba (0.0000, 0.5000, 0.0000)  0.06
Rb (0.5000, 0.5000, 0.5000)  0.01



No. 2
Computed, not measured: a relaxed Ca3Br crystal at the PBE level of DFT.

Summary:
Energy relative to the lowest polymorph listed for this composition, meV/atom: 368
E_form (uncorrected), eV/f.u.: -1.2
Energy, eV/atom: -2.2233

abc: 6.7122 6.7122 6.7122
angles: 90.00 90.00 90.00
Fractional coordinates of all 8 atoms:
Ca (0.7500, 0.5000, 0.0000)
Ca (0.0000, 0.2500, 0.5000)
Ca (0.5000, 0.0000, 0.2500)
Ca (0.0000, 0.7500, 0.5000)
Ca (0.2500, 0.5000, 0.0000)
Ca (0.5000, 0.0000, 0.7500)
Br (0.0000, 0.0000, 0.0000)
Br (0.5000, 0.5000, 0.5000)



No. 3
Computed, not measured: a relaxed Er3Tl3GeO8 crystal at the PBE level of DFT.

Summary:
E_form (uncorrected), eV/f.u.: -33.0
Energy, eV/atom: -6.5356

abc: 6.6930 6.6931 7.6230
angles: 116.05 90.00 120.00
Fractional coordinates of all 15 atoms:
Er (0.5000, 0.0000, 0.5000)
Er (0.0000, 0.5000, 0.5000)
Er (0.5000, 0.5000, 0.5000)
Tl (0.0000, 0.5000, 0.0000)
Tl (0.5000, 0.5000, 0.0000)
Tl (0.0000, 0.0000, 0.0000)
O (0.7580, 0.9587, 0.6593)
O (0.7993, 0.5987, 0.3407)
O (0.2420, 0.0413, 0.3407)
O (0.2007, 0.9587, 0.6593)
O (0.2785, 0.5570, 0.3357)
O (0.7215, 0.4430, 0.6643)
O (0.7993, 0.0413, 0.3407)
O (0.2007, 0.4013, 0.6593)
Ge (0.0000, 0.0000, 0.5000)



No. 4
Computed, not measured: a relaxed TbTcCl crystal at the PBE level of DFT.

Summary:
Energy relative to the lowest polymorph listed for this composition, meV/atom: 102
E_form (uncorrected), eV/f.u.: -2.9
Energy, eV/atom: -6.5796

abc: 4.0474 4.0403 12.4383
angles: 108.98 90.15 59.96
Fractional coordinates of all 6 atoms:
Tb (0.5590, 0.7564, 0.4154)
Tb (0.4956, 0.8769, 0.0046)
Cl (0.9198, 0.0268, 0.8667)
Cl (0.7976, 0.2822, 0.5604)
Tc (0.0287, 0.8136, 0.2075)
Tc (0.3372, 0.1967, 0.2452)



No. 5
Computed, not measured: a relaxed LiPmCdCo crystal at the PBE level of DFT.

Summary:
Calculated formation energy, kJ/mol of atoms: 0
Energy, eV/atom: -3.6737

abc: 4.7472 4.7472 4.7472
angles: 60.00 60.00 60.00
Fractional coordinates of all 4 atoms:
Pm (0.2500, 0.2500, 0.2500)
Cd (0.7500, 0.7500, 0.7500)
Co (0.5000, 0.5000, 0.5000)
Li (0.0000, 0.0000, 0.0000)



No. 6
Computed, not measured: a relaxed Rb3TbTh3Se8 crystal at the PBE level of DFT.

Summary:
E_form (uncorrected), eV/f.u.: -24.4
Energy, eV/atom: -5.4730

abc: 8.4953 8.4946 9.5899
angles: 116.29 90.00 120.00
Fractional coordinates of all 15 atoms:
Rb (0.5000, 0.5000, 0.0000)
Rb (0.0000, 0.5000, 0.0000)
Rb (0.0000, 0.0000, 0.0000)
Th (0.0000, 0.5000, 0.5000)
Th (0.5000, 0.0000, 0.5000)
Th (0.5000, 0.5000, 0.5000)
Se (0.2642, 0.0332, 0.3024)
Se (0.7689, 0.5378, 0.3024)
Se (0.7690, 0.0332, 0.3024)
Se (0.7359, 0.4717, 0.7073)
Se (0.7358, 0.9668, 0.6976)
Se (0.2641, 0.5283, 0.2927)
Se (0.2311, 0.4622, 0.6976)
Se (0.2310, 0.9668, 0.6976)
Tb (0.0000, 0.0000, 0.5000)